No. 1
# LiGdPt4 (PBE, relaxed)
data_LiGdPt4
_chemical_formula_sum 'Li2 Gd2 Pt8'
_cell_length_a 7.9615
_cell_length_b 8.2536
_cell_length_c 3.8685
_cell_angle_alpha 90.00
_cell_angle_beta 90.00
_cell_angle_gamma 90.00
_symmetry_space_group_name_H-M 'C m m m'
_symmetry_Int_Tables_number 65
_symmetry_space_group_name_Hall '-C 2 2'
loop_
_atom_site_label
_atom_site_fract_x
_atom_site_fract_y
_atom_site_fract_z
Li1 0.0000 0.0000 0.0000
Gd1 0.0000 0.5000 0.5000
Pt1 0.0000 0.2620 0.0000
Pt2 0.1677 0.0000 0.5000
# size of the total moment	0.004	μB per cell
# crystal system	orthorhombic
# E above lowest polymorph	787	kJ/mol of formula units

No. 2
# ZrRe2Sn (PBE, relaxed)
data_ZrRe2Sn
_chemical_formula_sum 'Zr4 Re8 Sn4'
_cell_length_a 6.5762
_cell_length_b 6.5762
_cell_length_c 6.5762
_cell_angle_alpha 90.00
_cell_angle_beta 90.00
_cell_angle_gamma 90.00
_symmetry_space_group_name_H-M 'F -4 3 m'
_symmetry_Int_Tables_number 216
_symmetry_space_group_name_Hall 'F -4 2 3'
loop_
_atom_site_label
_atom_site_fract_x
_atom_site_fract_y
_atom_site_fract_z
Zr1 0.0000 0.0000 0.0000
Re1 0.0000 0.0000 0.5000
Re2 0.2500 0.2500 0.2500
Sn1 0.2500 0.2500 0.7500
# size of the total moment	0.325	μB per cell
# DFT total energy	-9.01	eV per atom
# crystal system	cubic

No. 3
# NdY2Mg3Tl2Zn (PBE, relaxed)
data_NdY2Mg3Tl2Zn
_chemical_formula_sum 'Nd2 Y4 Mg6 Tl4 Zn2'
_cell_length_a 4.6093
_cell_length_b 13.1892
_cell_length_c 7.4769
_cell_angle_alpha 90.00
_cell_angle_beta 90.00
_cell_angle_gamma 90.00
_symmetry_space_group_name_H-M 'A m m 2'
_symmetry_Int_Tables_number 38
loop_
_symmetry_equiv_pos_as_xyz
'x,y,z'
'-x,-y,z'
'-x,y,z'
'x,-y,z'
'x,y+1/2,z+1/2'
'-x,-y+1/2,z+1/2'
'-x,y+1/2,z+1/2'
'x,-y+1/2,z+1/2'
loop_
_atom_site_label
_atom_site_fract_x
_atom_site_fract_y
_atom_site_fract_z
Nd1 0.0000 0.0000 0.0000
Y1 0.0000 0.2064 0.6187
Mg1 0.5000 0.0000 0.6503
Mg2 0.5000 0.1173 0.2975
Tl1 0.5000 0.1694 0.9122
Zn1 0.0000 0.0000 0.4212
# size of the total moment	0.009	μB per cell
# DFT total energy	-3.49	eV per atom
# crystal system	orthorhombic

No. 4
# Ba2NbAsS6 (PBE, relaxed)
data_Ba2NbAsS6
_chemical_formula_sum 'Ba8 Nb4 As4 S24'
_cell_length_a 9.8932
_cell_length_b 9.8932
_cell_length_c 9.8932
_cell_angle_alpha 90.00
_cell_angle_beta 90.00
_cell_angle_gamma 90.00
_symmetry_space_group_name_H-M 'F m -3 m'
_symmetry_Int_Tables_number 225
_symmetry_space_group_name_Hall '-F 4 2 3'
loop_
_atom_site_label
_atom_site_fract_x
_atom_site_fract_y
_atom_site_fract_z
Ba1 0.2500 0.2500 0.2500
Nb1 0.0000 0.0000 0.0000
As1 0.0000 0.0000 0.5000
S1 0.0000 0.0000 0.2475
# size of the total moment	0.000	μB per cell
# DFT total energy	-5.43	eV per atom
# crystal system	cubic

No. 5
# ErSi2Pt (PBE, relaxed)
data_ErSi2Pt
_chemical_formula_sum 'Er8 Si16 Pt8'
_cell_length_a 4.2244
_cell_length_b 8.4680
_cell_length_c 15.9943
_cell_angle_alpha 90.00
_cell_angle_beta 90.00
_cell_angle_gamma 90.00
_symmetry_space_group_name_H-M 'I m m m'
_symmetry_Int_Tables_number 71
_symmetry_space_group_name_Hall '-I 2 2'
loop_
_atom_site_label
_atom_site_fract_x
_atom_site_fract_y
_atom_site_fract_z
Er1 0.0000 0.0000 0.2006
Er2 0.0000 0.2388 0.0000
Si1 0.0000 0.0000 0.4279
Si2 0.0000 0.3525 0.2004
Si3 0.0000 0.5000 0.4275
Pt1 0.0000 0.2476 0.3517
# size of the total moment	0.016	μB per cell
# DFT total energy	-6.34	eV per atom
# crystal system	orthorhombic

No. 6
# LaNd2Co2Sn7 (PBE, relaxed)
data_LaNd2Co2Sn7
_chemical_formula_sum 'La2 Nd4 Co4 Sn14'
_cell_length_a 4.6126
_cell_length_b 27.7078
_cell_length_c 4.6055
_cell_angle_alpha 90.00
_cell_angle_beta 90.00
_cell_angle_gamma 90.00
_symmetry_space_group_name_H-M 'C m m m'
_symmetry_Int_Tables_number 65
_symmetry_space_group_name_Hall '-C 2 2'
loop_
_atom_site_label
_atom_site_fract_x
_atom_site_fract_y
_atom_site_fract_z
La1 0.0000 0.0000 0.0000
Nd1 0.0000 0.3154 0.5000
Co1 0.0000 0.1282 0.0000
Sn1 0.0000 0.0907 0.5000
Sn2 0.0000 0.2176 0.0000
Sn3 0.0000 0.4091 0.0000
Sn4 0.0000 0.5000 0.5000
# size of the total moment	0.179	μB per cell
# DFT total energy	-5.27	eV per atom
# crystal system	orthorhombic

No. 7
# TbAgGeSe2S (PBE, relaxed)
data_TbAgGeSe2S
_chemical_formula_sum 'Tb4 Ag4 Ge4 Se8 S4'
_cell_length_a 4.0102
_cell_length_b 13.1763
_cell_length_c 10.3617
_cell_angle_alpha 90.00
_cell_angle_beta 90.00
_cell_angle_gamma 90.00
_symmetry_space_group_name_H-M 'C m c m'
_symmetry_Int_Tables_number 63
_symmetry_space_group_name_Hall '-C 2c 2'
loop_
_atom_site_label
_atom_site_fract_x
_atom_site_fract_y
_atom_site_fract_z
Tb1 0.0000 0.0000 0.0000
Ag1 0.0000 0.4766 0.2500
Ge1 0.0000 0.2541 0.7500
Se1 0.0000 0.3481 0.0608
S1 0.0000 0.0998 0.2500
# size of the total moment	0.019	μB per cell
# DFT total energy	-4.63	eV per atom
# crystal system	orthorhombic

No. 8
# Bi2PdPt (PBE, relaxed)
data_Bi2PdPt
_chemical_formula_sum 'Bi2 Pd1 Pt1'
_cell_length_a 4.3725
_cell_length_b 4.3725
_cell_length_c 5.6514
_cell_angle_alpha 90.00
_cell_angle_beta 90.00
_cell_angle_gamma 120.00
_symmetry_space_group_name_H-M 'P -3 m 1'
_symmetry_Int_Tables_number 164
_symmetry_space_group_name_Hall '-P 3 2"'
loop_
_atom_site_label
_atom_site_fract_x
_atom_site_fract_y
_atom_site_fract_z
Bi1 0.3333 0.6667 0.2461
Pd1 0.0000 0.0000 0.5000
Pt1 0.0000 0.0000 0.0000
# size of the total moment	0.003	μB per cell
# DFT total energy	-5.14	eV per atom
# crystal system	trigonal

No. 9
# GdOsNO (PBE, relaxed)
data_GdOsNO
_chemical_formula_sum 'Gd2 Os2 N2 O2'
_cell_length_a 4.9633
_cell_length_b 4.9633
_cell_length_c 4.2619
_cell_angle_alpha 90.00
_cell_angle_beta 90.00
_cell_angle_gamma 90.00
_symmetry_space_group_name_H-M 'P 4/n m m'
_symmetry_Int_Tables_number 129
loop_
_symmetry_equiv_pos_as_xyz
'x,y,z'
'-x,-y,-z'
'-y+1/2,x,z'
'y+1/2,-x,-z'
'-x+1/2,-y+1/2,z'
'x+1/2,y+1/2,-z'
'y,-x+1/2,z'
'-y,x+1/2,-z'
'x+1/2,-y,-z'
'-x+1/2,y,z'
'-y,-x,-z'
'y,x,z'
'-x,y+1/2,-z'
'x,-y+1/2,z'
'y+1/2,x+1/2,-z'
'-y+1/2,-x+1/2,z'
loop_
_atom_site_label
_atom_site_fract_x
_atom_site_fract_y
_atom_site_fract_z
Gd1 0.2500 0.7500 0.0000
Os1 0.2500 0.2500 0.4952
N1 0.2500 0.2500 0.9948
O1 0.2500 0.7500 0.5000
# size of the total moment	0.052	μB per cell
# crystal system	tetragonal
# E above lowest polymorph	330	kJ/mol of formula units

No. 10
# CsHg2 (PBE, relaxed)
data_CsHg2
_chemical_formula_sum 'Cs4 Hg8'
_cell_length_a 5.5680
_cell_length_b 8.7497
_cell_length_c 9.2653
_cell_angle_alpha 90.00
_cell_angle_beta 90.00
_cell_angle_gamma 90.00
_symmetry_space_group_name_H-M 'I m m 2'
_symmetry_Int_Tables_number 44
loop_
_symmetry_equiv_pos_as_xyz
'x,y,z'
'-x,-y,z'
'-x,y,z'
'x,-y,z'
'x+1/2,y+1/2,z+1/2'
'-x+1/2,-y+1/2,z+1/2'
'-x+1/2,y+1/2,z+1/2'
'x+1/2,-y+1/2,z+1/2'
loop_
_atom_site_label
_atom_site_fract_x
_atom_site_fract_y
_atom_site_fract_z
Cs1 0.0000 0.0000 0.0000
Cs2 0.0000 0.5000 0.1162
Hg1 0.0000 0.1842 0.3912
Hg2 0.0000 0.3184 0.7194
# crystal system	orthorhombic
# E above lowest polymorph	0	kJ/mol of formula units

No. 11
# ZrGaPd (PBE, relaxed)
data_ZrGaPd
_chemical_formula_sum 'Zr4 Ga4 Pd4'
_cell_length_a 6.3548
_cell_length_b 6.3548
_cell_length_c 6.3548
_cell_angle_alpha 90.00
_cell_angle_beta 90.00
_cell_angle_gamma 90.00
_symmetry_space_group_name_H-M 'F -4 3 m'
_symmetry_Int_Tables_number 216
_symmetry_space_group_name_Hall 'F -4 2 3'
loop_
_atom_site_label
_atom_site_fract_x
_atom_site_fract_y
_atom_site_fract_z
Zr1 0.0000 0.0000 0.0000
Ga1 0.2500 0.2500 0.7500
Pd1 0.2500 0.2500 0.2500
# size of the total moment	0.028	μB per cell
# DFT total energy	-5.69	eV per atom
# crystal system	cubic

No. 12
# PrAlPO (PBE, relaxed)
data_PrAlPO
_chemical_formula_sum 'Pr2 Al2 P2 O2'
_cell_length_a 4.0946
_cell_length_b 4.0946
_cell_length_c 8.7569
_cell_angle_alpha 90.00
_cell_angle_beta 90.00
_cell_angle_gamma 90.00
_symmetry_space_group_name_H-M 'P 4/n m m'
_symmetry_Int_Tables_number 129
loop_
_symmetry_equiv_pos_as_xyz
'x,y,z'
'-x,-y,-z'
'-y+1/2,x,z'
'y+1/2,-x,-z'
'-x+1/2,-y+1/2,z'
'x+1/2,y+1/2,-z'
'y,-x+1/2,z'
'-y,x+1/2,-z'
'x+1/2,-y,-z'
'-x+1/2,y,z'
'-y,-x,-z'
'y,x,z'
'-x,y+1/2,-z'
'x,-y+1/2,z'
'y+1/2,x+1/2,-z'
'-y+1/2,-x+1/2,z'
loop_
_atom_site_label
_atom_site_fract_x
_atom_site_fract_y
_atom_site_fract_z
Pr1 0.2500 0.2500 0.1341
Al1 0.2500 0.7500 0.5000
P1 0.2500 0.2500 0.6572
O1 0.2500 0.7500 0.0000
# size of the total moment	0.016	μB per cell
# crystal system	tetragonal
# E above lowest polymorph	0	kJ/mol of formula units